NiAgSeO4: optimized geometry, PBE+U.

Cell and atoms, written as POSCAR:
```
NiAgSeO4
1.0
-4.125 5.369 -0.782
-4.784 1.245 4.077
-0.072 4.876 4.156
Ag O Ni Se
2 8 2 2
Direct
0.000 0.000 0.500
0.500 0.000 0.500
0.803 0.765 0.265
0.833 0.235 0.735
0.309 0.664 0.718
0.691 0.336 0.282
0.309 0.218 0.164
0.197 0.235 0.735
0.691 0.782 0.836
0.167 0.765 0.265
0.000 0.500 0.500
0.000 0.000 0.000
0.426 0.324 0.824
0.574 0.676 0.176
```

Properties
- N(E_F): 6.65 states/eV/cell
- Final energy: -4.53 eV per atom